PrNdAl4: optimized geometry, PBE.

```
PrNdAl4
1.0
0.000 4.033 4.033
4.033 0.000 4.033
4.033 4.033 0.000
Pr Nd Al
1 1 4
Cartesian
0.000 0.000 0.000
2.017 2.017 2.017
5.041 3.025 3.025
3.025 5.041 3.025
3.025 3.025 5.041
5.041 5.041 5.041
```

Output
For the density of states at the Fermi level, the calculation gives 4.60 states/eV per cell. The calculation puts the raw total energy at -4.584 eV per atom. The value obtained for the mass density is 5.0 g cm⁻³. As for the total moment: 0.00 μB per cell.